Here is a geometry-optimized Ga3TcF structure from Alexandria. Energies are from PBE.

Properties
The total magnetization comes out at 2.097 μB/cell. As for the space-group type: No. 221. As for the total energy: -21.119 eV per cell. Its uncorrected formation energy is 0.04 eV per atom.

Cell and atoms, written as POSCAR:
```
Ga3TcF
1.0
-1.156 0.924 4.098
1.252 -3.982 1.251
4.010 1.509 0.791
Tc Ga F
1 3 1
Direct
0.500 0.500 0.500
0.500 0.000 0.000
0.000 0.000 0.500
0.000 0.500 0.000
0.000 0.000 0.000
```


Here is a geometry-optimized Na3CaAu structure from Alexandria. Energies are from PBE.

Properties
For the formation energy, the calculation gives 0.004 eV per atom. The total magnetization comes out at 0.000 μB/cell. As for the space-group type: No. 221. As for the total energy: -9.217 eV per cell.

Cell and atoms, written as POSCAR:
```
Na3CaAu
1.0
-3.040 -1.342 -4.553
0.334 -5.454 1.385
-4.735 0.477 3.020
Ca Na Au
1 3 1
Direct
0.500 0.500 0.500
0.500 0.000 0.000
0.000 0.500 0.000
0.000 0.000 0.500
0.000 0.000 0.000
```